Computed, not measured: crystalline Na6Tl3Pb at its relaxed geometry at the PBE level of DFT.

a b c (Å): 7.072 9.267 9.267
angles (deg): 86.09 90.00 90.00
Positions (direct):
Tl 0.053 0.320 0.320
Tl 0.552 0.138 0.809
Tl 0.052 0.191 0.862
Tl 0.052 0.862 0.191
Tl 0.552 0.809 0.138
Tl 0.553 0.680 0.680
Na 0.799 0.499 0.999
Na 0.280 0.870 0.870
Na 0.825 0.871 0.871
Na 0.325 0.129 0.129
Na 0.299 0.501 0.001
Na 0.302 0.373 0.629
Na 0.302 0.629 0.373
Na 0.299 0.001 0.501
Na 0.780 0.130 0.130
Na 0.799 0.999 0.499
Na 0.802 0.627 0.371
Na 0.802 0.371 0.627
Pb 0.051 0.667 0.667
Pb 0.551 0.333 0.333

Properties
mass density	5.3	g cm⁻³
M_tot	0.000	μB/atom
energy	-38.87	eV per cell
density of states at the Fermi level	0.39	states/eV/atom

=====

Computed, not measured: crystalline Na6Tl6Pb at its relaxed geometry at the PBE level of DFT.

a b c (Å): 6.522 6.522 10.980
angles (deg): 90.00 90.00 120.00
Positions (direct):
Na 0.000 0.000 0.677
Na 0.333 0.667 0.500
Na 0.000 0.000 0.323
Na 0.667 0.333 0.500
Na 0.667 0.333 0.000
Na 0.333 0.667 0.000
Tl 0.500 0.500 0.756
Tl 0.000 0.500 0.756
Tl 0.500 0.000 0.756
Tl 0.500 0.000 0.244
Tl 0.500 0.500 0.244
Tl 0.000 0.500 0.244
Pb 0.000 0.000 0.000

Properties
mass density	6.5	g cm⁻³
M_tot	0.000	μB/atom
energy	-26.54	eV per cell
density of states at the Fermi level	0.30	states/eV/atom

=====

Computed, not measured: crystalline Na2Tl5Pb at its relaxed geometry at the PBE level of DFT.

a b c (Å): 6.887 6.887 6.854
angles (deg): 119.34 119.34 91.08
Positions (direct):
Tl 0.778 0.778 0.500
Tl 0.778 0.278 0.000
Tl 0.278 0.778 0.000
Tl 0.278 0.278 0.500
Tl 0.278 0.278 0.000
Na 0.778 0.278 0.500
Na 0.278 0.778 0.500
Pb 0.778 0.778 0.000

Properties
mass density	9.1	g cm⁻³
M_tot	0.000	μB/atom
energy	-18.71	eV per cell
density of states at the Fermi level	0.39	states/eV/atom

=====

Computed, not measured: crystalline Na6Tl3Pb at its relaxed geometry at the PBE level of DFT.

a b c (Å): 7.600 9.750 9.750
angles (deg): 120.37 90.00 90.00
Positions (direct):
Na 0.301 0.964 0.036
Na 0.699 0.264 0.736
Na 0.332 0.108 0.489
Na 0.640 0.280 0.354
Na 0.801 0.036 0.964
Na 0.640 0.646 0.720
Na 0.332 0.511 0.892
Na 0.140 0.720 0.646
Na 0.832 0.892 0.511
Na 0.832 0.489 0.108
Na 0.140 0.354 0.280
Na 0.199 0.736 0.264
Tl 0.517 0.616 0.384
Tl 0.962 0.707 0.959
Tl 0.962 0.041 0.293
Tl 0.462 0.293 0.041
Tl 0.017 0.384 0.616
Tl 0.462 0.959 0.707
Pb 0.600 0.821 0.179
Pb 0.100 0.179 0.821

Properties
mass density	5.1	g cm⁻³
M_tot	0.000	μB/atom
energy	-38.83	eV per cell
density of states at the Fermi level	0.45	states/eV/atom

=====

Computed, not measured: crystalline Na4TlPb4 at its relaxed geometry at the PBE level of DFT.

a b c (Å): 4.738 7.847 7.847
angles (deg): 84.77 72.43 72.43
Positions (direct):
Na 0.166 0.500 0.668
Na 0.834 0.500 0.332
Na 0.834 0.832 0.000
Na 0.166 0.168 0.000
Pb 0.837 0.163 0.663
Pb 0.500 0.163 0.337
Pb 0.163 0.837 0.337
Pb 0.500 0.837 0.663
Tl 0.500 0.500 0.000

Properties
mass density	7.0	g cm⁻³
M_tot	0.000	μB/atom
energy	-23.66	eV per cell
density of states at the Fermi level	0.26	states/eV/atom

=====

Computed, not measured: crystalline NaTlPb at its relaxed geometry at the PBE level of DFT.

a b c (Å): 3.920 3.920 6.370
angles (deg): 72.08 72.08 90.00
Positions (direct):
Tl 0.167 0.167 0.667
Pb 0.503 0.503 0.994
Na 0.830 0.830 0.340

Properties
mass density	8.2	g cm⁻³
M_tot	0.000	μB/atom
energy	-7.72	eV per cell
density of states at the Fermi level	0.46	states/eV/atom

=====

Computed, not measured: crystalline NaTl2Pb at its relaxed geometry at the PBE level of DFT.

a b c (Å): 5.118 5.118 5.763
angles (deg): 116.33 116.36 90.00
Positions (direct):
Tl 0.750 0.750 0.500
Tl 0.250 0.250 0.500
Na 0.000 0.500 0.000
Pb 0.500 0.000 0.000

Properties
mass density	9.0	g cm⁻³
M_tot	0.000	μB/atom
energy	-10.11	eV per cell
density of states at the Fermi level	0.44	states/eV/atom

=====

Computed, not measured: crystalline Na3Tl8Pb at its relaxed geometry at the PBE level of DFT.

a b c (Å): 10.711 8.254 5.987
angles (deg): 68.74 89.99 130.45
Positions (direct):
Tl 0.087 0.505 0.677
Tl 0.333 0.000 0.063
Tl 0.666 0.000 0.063
Tl 0.418 0.505 0.677
Tl 0.164 0.000 0.578
Tl 0.913 0.495 0.182
Tl 0.582 0.495 0.182
Tl 0.836 0.000 0.578
Na 0.500 0.000 0.554
Na 0.250 0.500 0.183
Na 0.750 0.500 0.683
Pb 0.000 0.000 0.080

Properties
mass density	9.0	g cm⁻³
M_tot	0.000	μB/atom
energy	-27.49	eV per cell
density of states at the Fermi level	0.36	states/eV/atom

=====

Computed, not measured: crystalline Na3Tl7Pb at its relaxed geometry at the PBE level of DFT.

a b c (Å): 5.913 8.131 8.131
angles (deg): 90.41 108.79 108.79
Positions (direct):
Pb 0.500 0.500 0.500
Tl 0.000 0.500 0.500
Tl 0.138 0.187 0.187
Tl 0.325 0.058 0.592
Tl 0.862 0.813 0.813
Tl 0.675 0.942 0.408
Tl 0.325 0.592 0.058
Tl 0.675 0.408 0.942
Na 0.000 0.775 0.225
Na 0.500 0.000 0.000
Na 0.000 0.225 0.775

Properties
mass density	8.2	g cm⁻³
M_tot	0.000	μB/atom
energy	-24.13	eV per cell
density of states at the Fermi level	0.45	states/eV/atom

=====

Computed, not measured: crystalline NaTl6Pb4 at its relaxed geometry at the PBE level of DFT.

a b c (Å): 4.807 9.526 9.526
angles (deg): 120.00 90.00 90.00
Positions (direct):
Tl 0.000 0.526 0.053
Tl 0.000 0.947 0.474
Tl 0.500 0.193 0.807
Tl 0.500 0.193 0.387
Tl 0.000 0.526 0.474
Tl 0.500 0.613 0.807
Na 0.000 0.000 0.000
Pb 0.500 0.415 0.208
Pb 0.500 0.792 0.208
Pb 0.500 0.792 0.585
Pb 0.000 0.333 0.667

Properties
mass density	9.1	g cm⁻³
M_tot	0.000	μB/atom
energy	-29.51	eV per cell
density of states at the Fermi level	0.68	states/eV/atom

=====

Computed, not measured: crystalline NaTl6Pb3 at its relaxed geometry at the PBE level of DFT.

a b c (Å): 6.023 6.023 10.702
angles (deg): 90.00 90.00 120.00
Positions (direct):
Pb 0.000 0.000 0.500
Pb 0.333 0.667 0.500
Pb 0.667 0.333 0.500
Tl 0.000 0.345 0.773
Tl 0.655 0.655 0.773
Tl 0.345 0.345 0.227
Tl 0.345 0.000 0.773
Tl 0.655 0.000 0.227
Tl 0.000 0.655 0.227
Na 0.000 0.000 0.000

Properties
mass density	9.2	g cm⁻³
M_tot	0.000	μB/atom
energy	-26.44	eV per cell
density of states at the Fermi level	0.75	states/eV/atom

=====

Computed, not measured: crystalline Na2Tl8Pb at its relaxed geometry at the PBE level of DFT.

a b c (Å): 7.069 6.765 8.251
angles (deg): 114.20 103.18 90.00
Positions (direct):
Tl 0.310 0.652 0.831
Tl 0.985 0.769 0.538
Tl 0.192 0.598 0.195
Tl 0.808 0.402 0.805
Tl 0.310 0.179 0.831
Tl 0.690 0.348 0.169
Tl 0.015 0.231 0.462
Tl 0.690 0.821 0.169
Na 0.568 0.807 0.613
Na 0.432 0.193 0.387
Pb 0.000 0.000 0.000

Properties
mass density	9.0	g cm⁻³
M_tot	0.000	μB/atom
energy	-25.28	eV per cell
density of states at the Fermi level	0.49	states/eV/atom